--- 1 ---
Entry from Alexandria: a relaxed structure of SrSmGa (PBE).

Computed properties:
Calculated density (Mg/m³): 4.780
N(E_F) (states/eV per cell): 4.23
Crystal system: trigonal
Volume (Å³/atom): 35.630

Unit cell a=5.068 b=5.068 c=9.611 alpha=90.01 beta=90.01 gamma=60.00
Atoms (fractional coordinates):
Sr 0.333 0.833 0.667
Sr 0.667 0.167 0.333
Sm 0.667 0.167 0.913
Sm 0.333 0.833 0.087
Ga 0.000 0.500 0.857
Ga 0.000 0.500 0.143



--- 2 ---
Entry from Alexandria: a relaxed structure of SrSmGa (PBE).

Computed properties:
Calculated density (Mg/m³): 5.237
N(E_F) (states/eV per cell): 5.77
Crystal system: orthorhombic
Volume (Å³/atom): 32.520

Unit cell a=5.356 b=3.786 c=13.611 alpha=90.00 beta=90.00 gamma=135.02
Atoms (fractional coordinates):
Sm 0.694 0.387 0.378
Sm 0.694 0.387 0.622
Ga 0.193 0.387 0.500
Ga 0.696 0.391 0.000
Sr 0.195 0.391 0.855
Sr 0.195 0.391 0.145



Which is the most stable structure? 1 is the most stable.